Entry from the Alexandria database: an optimized crystal structure of CsNdTl (PBE).

Computed properties:
**Theoretical density**: 5.7 g/cm3
**DFT formation energy**: -104 meV/atom

abc: 4.218 4.218 31.391
angles: 90.00 90.00 90.00
Space group I4/mmm (No. 139)
Asymmetric unit:
Cs (0.000, 0.000, 0.081) [4 per cell]
Nd (0.000, 0.000, 0.213) [4 per cell]
Tl (0.000, 0.000, 0.332) [4 per cell]

=====

Entry from the Alexandria database: an optimized crystal structure of BaHfHgH2 (PBE).

Computed properties:
**Theoretical density**: 6.4 g/cm3
**E_tot**: -15.05 eV for the cell shown

abc: 4.487 4.487 6.683
angles: 90.00 90.00 90.00
Space group P4/mmm (No. 123)
Asymmetric unit:
Ba (0.000, 0.000, 0.000) [1 per cell]
Hf (0.500, 0.500, 0.500) [1 per cell]
Hg (0.000, 0.000, 0.500) [1 per cell]
H (0.000, 0.500, 0.000) [2 per cell]

=====

Entry from the Alexandria database: an optimized crystal structure of Tl2FeOs (PBE).

Computed properties:
**Theoretical density**: 15.0 g/cm3
**Energy above the most stable polymorph in this dataset**: 1.724 eV per formula unit
**DFT formation energy**: 977 meV/atom

abc: 3.301 3.301 6.654
angles: 90.00 90.00 90.00
Space group P4/mmm (No. 123)
Asymmetric unit:
Tl (0.000, 0.000, 0.249) [2 per cell]
Fe (0.500, 0.500, 0.000) [1 per cell]
Os (0.500, 0.500, 0.500) [1 per cell]

=====

Entry from the Alexandria database: an optimized crystal structure of ScTlAu (PBE).

Computed properties:
**Theoretical density**: 10.3 g/cm3
**DFT formation energy**: -307 meV/atom

abc: 3.6156 3.6156 6.3294
angles: 90.00 90.00 120.00
Space group P3m1 (No. 156)
Asymmetric unit:
Sc (0.0000, 0.0000, 0.0000) [1 per cell]
Tl (0.6667, 0.3333, 0.3745) [1 per cell]
Au (0.3333, 0.6667, 0.7236) [1 per cell]

=====

Entry from the Alexandria database: an optimized crystal structure of LaGa2CoAg (PBE).

Computed properties:
**Theoretical density**: 7.1 g/cm3
**Energy above the most stable polymorph in this dataset**: 0.000 eV per formula unit
**DFT formation energy**: -280 meV/atom

abc: 4.545 4.545 5.010
angles: 90.00 90.00 90.00
Space group P4/mmm (No. 123)
Asymmetric unit:
La (0.000, 0.000, 0.000) [1 per cell]
Ga (0.000, 0.500, 0.500) [2 per cell]
Co (0.500, 0.500, 0.500) [1 per cell]
Ag (0.500, 0.500, 0.000) [1 per cell]

=====

Entry from the Alexandria database: an optimized crystal structure of LiPa2Si3Pt4 (PBE).

Computed properties:
**Theoretical density**: 12.8 g/cm3
**Formation energy (no corrections)**: -0.9084 eV/atom

abc: 4.151 4.151 10.056
angles: 90.00 90.00 90.00
Space group P-4m2 (No. 115)
Asymmetric unit:
Li (0.000, 0.000, 0.000) [1 per cell]
Pa (0.000, 0.500, 0.755) [2 per cell]
Si (0.000, 0.500, 0.368) [2 per cell]
Si (0.500, 0.500, 0.000) [1 per cell]
Pt (0.000, 0.000, 0.500) [1 per cell]
Pt (0.000, 0.500, 0.134) [2 per cell]
Pt (0.500, 0.500, 0.500) [1 per cell]

=====

Entry from the Alexandria database: an optimized crystal structure of NaAgPb2 (PBE).

Computed properties:
**Theoretical density**: 8.8 g/cm3
**DFT formation energy**: -19 meV/atom

abc: 4.814 4.814 4.442
angles: 90.00 90.00 90.00
Space group P4/mmm (No. 123)
Asymmetric unit:
Na (0.000, 0.000, 0.000) [1 per cell]
Ag (0.500, 0.500, 0.000) [1 per cell]
Pb (0.000, 0.500, 0.500) [2 per cell]

=====

Entry from the Alexandria database: an optimized crystal structure of SiAgCl (PBE).

Computed properties:
**Theoretical density**: 4.9 g/cm3
**Formation energy (no corrections)**: 0.4168 eV/atom
**Energy above the most stable polymorph in this dataset**: 1.586 eV per formula unit

abc: 4.7460 4.7460 2.9867
angles: 90.00 90.00 120.00
Space group P3m1 (No. 156)
Asymmetric unit:
Si (0.0000, 0.0000, 0.0000) [1 per cell]
Ag (0.6667, 0.3333, 0.5110) [1 per cell]
Cl (0.3333, 0.6667, 0.0008) [1 per cell]

=====

Entry from the Alexandria database: an optimized crystal structure of BaFe2Tc (PBE).

Computed properties:
**Theoretical density**: 7.6 g/cm3
**Energy above the most stable polymorph in this dataset**: 0.850 eV per formula unit
**DFT formation energy**: 669 meV/atom

abc: 3.146 3.146 7.708
angles: 90.00 90.00 90.00
Space group P4mm (No. 99)
Asymmetric unit:
Ba (0.000, 0.000, 0.000) [1 per cell]
Fe (0.000, 0.000, 0.494) [1 per cell]
Fe (0.500, 0.500, 0.343) [1 per cell]
Tc (0.500, 0.500, 0.654) [1 per cell]

=====

Entry from the Alexandria database: an optimized crystal structure of LaDyGaOs (PBE).

Computed properties:
**Theoretical density**: 10.2 g/cm3
**DFT formation energy**: -249 meV/atom

abc: 7.151 7.151 7.151
angles: 90.00 90.00 90.00
Space group F-43m (No. 216)
Asymmetric unit:
La (0.000, 0.000, 0.000) [4 per cell]
Dy (0.000, 0.000, 0.500) [4 per cell]
Ga (0.250, 0.250, 0.250) [4 per cell]
Os (0.250, 0.250, 0.750) [4 per cell]

=====

Entry from the Alexandria database: an optimized crystal structure of Tl6SI2Cl2 (PBE).

Computed properties:
**Theoretical density**: 6.3 g/cm3
**Formation energy (no corrections)**: -0.6686 eV/atom

abc: 7.410 14.541 8.483
angles: 90.00 113.19 90.00
Space group C2/m (No. 12)
Asymmetric unit:
Tl (0.232, 0.150, 0.266) [8 per cell]
Tl (0.243, 0.000, 0.684) [4 per cell]
S (0.000, 0.500, 0.500) [2 per cell]
I (0.000, 0.350, 0.000) [4 per cell]
Cl (0.000, 0.206, 0.500) [4 per cell]

=====

Entry from the Alexandria database: an optimized crystal structure of TbPr2In (PBE).

Computed properties:
**Theoretical density**: 7.4 g/cm3
**Energy above the most stable polymorph in this dataset**: 0.478 eV per formula unit
**DFT formation energy**: -149 meV/atom

abc: 7.925 7.925 7.925
angles: 90.00 90.00 90.00
Space group Fm-3m (No. 225)
Asymmetric unit:
Tb (0.000, 0.000, 0.000) [4 per cell]
Pr (0.250, 0.250, 0.250) [8 per cell]
In (0.000, 0.000, 0.500) [4 per cell]

=====

Entry from the Alexandria database: an optimized crystal structure of BaInSb2 (PBE).

Computed properties:
**Theoretical density**: 5.7 g/cm3
**Formation energy (no corrections)**: -0.1309 eV/atom

abc: 4.3254 4.3254 26.8786
angles: 90.00 90.00 120.00
Space group R3m (No. 160, hexagonal axes)
Asymmetric unit:
Ba (0.0000, 0.0000, 0.0000) [3 per cell]
In (0.0000, 0.0000, 0.2327) [3 per cell]
Sb (0.0000, 0.0000, 0.4950) [3 per cell]
Sb (0.0000, 0.0000, 0.7610) [3 per cell]

=====

Entry from the Alexandria database: an optimized crystal structure of BaOs2O8 (PBE).

Computed properties:
**Theoretical density**: 7.2 g/cm3
**Formation energy (no corrections)**: -0.7988 eV/atom

abc: 4.788 4.788 6.532
angles: 90.00 90.00 90.00
Space group P4/mmm (No. 123)
Asymmetric unit:
Ba (0.000, 0.000, 0.000) [1 per cell]
Os (0.000, 0.500, 0.500) [2 per cell]
O (0.251, 0.251, 0.326) [8 per cell]